Entry 1:
Density functional theory data (PBE) for a geometry-optimized Pa3AsS2 structure.

Results
Its density is 10.450 g/cm³. The calculation puts the formation energy without anion corrections at -1409.1 meV per atom. As for the raw total energy: -8.308 eV/atom. Its density of states at the Fermi level is 1.739 states/eV/atom. Its space group is Immm, No. 71. The crystal system is orthorhombic.

abc: 5.622 6.763 8.100
angles: 107.43 90.00 114.56
Positions (direct):
Pa (0.500, 0.000, 0.750)
Pa (0.500, 0.000, 0.250)
Pa (0.823, 0.646, 0.912)
Pa (0.177, 0.354, 0.588)
Pa (0.823, 0.646, 0.412)
Pa (0.177, 0.354, 0.088)
As (0.000, 0.000, 0.250)
As (0.000, 0.000, 0.750)
S (0.338, 0.676, 0.419)
S (0.338, 0.676, 0.919)
S (0.662, 0.324, 0.081)
S (0.662, 0.324, 0.581)

***

Entry 2:
Density functional theory data (PBE) for a geometry-optimized Ce2Zn structure.

Results
Its density is 8.270 g/cm³. As for the raw total energy: -4.476 eV/atom. Its density of states at the Fermi level is 2.468 states/eV/atom. The formation energy comes out at -0.10 eV per atom. Its space group is Pmmm, No. 47. The crystal system is orthorhombic.

abc: 3.228 4.389 9.797
angles: 90.00 90.00 90.00
Site moments in Bohr magnetons follow the coordinates.
Positions (direct):
Ce (0.500, 0.500, 0.500)  0.13
Ce (0.500, 0.500, 0.185)  0.06
Ce (0.000, 0.000, 0.000)  0.02
Ce (0.500, 0.500, 0.815)  0.06
Zn (0.000, 0.000, 0.656)  0.00
Zn (0.000, 0.000, 0.344)  0.00

***

Entry 3:
Density functional theory data (PBE) for a geometry-optimized Mn2TcHg structure.

Results
Its density is 11.074 g/cm³. As for the raw total energy: -6.964 eV/atom. Its density of states at the Fermi level is 0.494 states/eV/atom. The formation energy comes out at 0.29 eV per atom. Its space group is P4mm, No. 99. The crystal system is tetragonal.

abc: 2.983 2.983 6.883
angles: 90.00 90.00 90.00
Site moments in Bohr magnetons follow the coordinates.
Positions (direct):
Hg (0.500, 0.500, 0.756)  -0.02
Mn (0.000, 0.000, 0.038)  3.48
Mn (0.500, 0.500, 0.260)  1.45
Tc (0.000, 0.000, 0.446)  -0.27

***

Entry 4:
Density functional theory data (PBE) for a geometry-optimized EuZnCu structure.

Results
Its density is 7.570 g/cm³. As for the raw total energy: -5.328 eV/atom. Its density of states at the Fermi level is 1.133 states/eV/atom. The formation energy comes out at -0.11 eV per atom. Its space group is I4mm, No. 107. The crystal system is tetragonal.

abc: 3.407 3.407 5.829
angles: 106.99 106.99 90.00
Site moments in Bohr magnetons follow the coordinates.
Positions (direct):
Eu (0.948, 0.948, 0.896)  6.88
Zn (0.653, 0.653, 0.306)  0.00
Cu (0.249, 0.249, 0.498)  0.00

***

Entry 5:
Density functional theory data (PBE) for a geometry-optimized ZnRePS2 structure.

Results
Its density is 5.644 g/cm³. The calculation puts the formation energy without anion corrections at 475.0 meV per atom. As for the raw total energy: -5.002 eV/atom. Its density of states at the Fermi level is 0.713 states/eV/atom. Its space group is P4/mmm, No. 123. The crystal system is tetragonal.

abc: 4.555 4.555 4.916
angles: 90.00 90.00 90.00
Positions (direct):
Re (0.000, 0.000, 0.000)
Zn (0.500, 0.500, 0.500)
S (0.000, 0.500, 0.000)
S (0.500, 0.000, 0.000)
P (0.000, 0.000, 0.500)

***

Entry 6:
Density functional theory data (PBE) for a geometry-optimized RbPmPb2 structure.

Results
Its density is 7.420 g/cm³. As for the raw total energy: -3.433 eV/atom. Its density of states at the Fermi level is 0.786 states/eV/atom. The formation energy comes out at -0.15 eV per atom. Its space group is R-3m, No. 166. The crystal system is trigonal.

abc: 3.848 3.848 11.470
angles: 80.34 80.34 60.00
Positions (direct):
Pb (0.743, 0.743, 0.771)
Pb (0.257, 0.257, 0.229)
Rb (0.500, 0.500, 0.500)
Pm (0.000, 0.000, 0.000)